(1)
This record from the Alexandria database describes crystalline Tm2Mg7 at its relaxed geometry. The functional is PBE.

```
Tm2Mg7
1.0
-4.713 1.875 3.145
-3.545 -3.962 2.712
5.616 0.083 14.030
Tm Mg
4 14
Direct
0.064 0.064 0.807
0.936 0.936 0.193
0.152 0.152 0.545
0.848 0.848 0.455
0.500 0.500 0.500
0.277 0.277 0.168
0.723 0.723 0.832
0.390 0.390 0.831
0.610 0.610 0.169
0.500 0.000 0.000
0.000 0.500 0.000
0.500 0.500 0.000
0.615 0.615 0.663
0.615 0.108 0.663
0.108 0.615 0.663
0.385 0.385 0.337
0.385 0.892 0.337
0.892 0.385 0.337
```

Calculated values
Calculated volume, Å³/atom: 25.2
Spin magnetization, μB per formula unit: 0.000
Raw total energy, Ry/atom: -0.16301
ΔE to the lowest computed polymorph, meV per atom: 4.1


(2)
This record from the Alexandria database describes crystalline Tm7Mg5 at its relaxed geometry. The functional is PBE.

```
Tm7Mg5
1.0
5.283 0.000 0.000
-2.641 5.407 -2.120
0.000 -6.943 14.208
Tm Mg
7 5
Direct
0.204 0.407 0.726
0.796 0.593 0.274
0.077 0.154 0.246
0.923 0.846 0.754
0.644 0.288 0.989
0.500 0.000 0.500
0.356 0.712 0.011
0.227 0.454 0.534
0.773 0.546 0.466
0.383 0.766 0.224
0.617 0.234 0.776
0.000 0.000 0.000
```

Calculated values
Calculated volume, Å³/atom: 27.3
Spin magnetization, μB per formula unit: 0.000
Raw total energy, Ry/atom: -0.23986


(3)
This record from the Alexandria database describes crystalline Tm3Mg at its relaxed geometry. The functional is PBE.

```
Tm3Mg
1.0
-6.539 -1.598 1.554
5.187 -2.748 3.643
-0.207 4.247 3.497
Tm Mg
6 2
Direct
0.169 0.338 0.250
0.169 0.831 0.250
0.662 0.831 0.250
0.338 0.169 0.750
0.831 0.169 0.750
0.831 0.662 0.750
0.667 0.333 0.250
0.333 0.667 0.750
```

Calculated values
Calculated volume, Å³/atom: 28.4
Spin magnetization, μB per formula unit: 0.003
Raw total energy, Ry/atom: -0.27503
ΔE to the lowest computed polymorph, meV per atom: 31.2


(4)
This record from the Alexandria database describes crystalline TmMg6 at its relaxed geometry. The functional is PBE.

```
TmMg6
1.0
6.691 0.000 0.000
-2.230 6.308 0.000
-2.230 -3.154 5.463
Tm Mg
1 6
Direct
0.000 0.000 0.000
0.250 0.750 0.500
0.500 0.750 0.250
0.250 0.500 0.750
0.750 0.250 0.500
0.500 0.250 0.750
0.750 0.500 0.250
```

Calculated values
Calculated volume, Å³/atom: 32.9
Spin magnetization, μB per formula unit: 0.000
Raw total energy, Ry/atom: -0.08990
ΔE to the lowest computed polymorph, meV per atom: 751.3